No. 1
The following is a meta-GGA SCAN calculation of a crystal of KMg2CoIr relaxed with PBEsol, from the Alexandria database.

Results
Symmetry: No. 123

abc: 4.459 4.882 4.882
angles: 90.00 90.00 90.00
Atoms (fractional coordinates):
1 Mg 0.000 0.000 0.500
2 Mg 0.000 0.500 0.000
3 K 0.500 0.500 0.500
4 Co 0.000 0.000 0.000
5 Ir 0.500 0.000 0.000


No. 2
The following is a meta-GGA SCAN calculation of a crystal of KMn2CoIr relaxed with PBEsol, from the Alexandria database.

Results
Symmetry: No. 123

abc: 4.455 4.455 4.470
angles: 90.00 90.00 90.00
Atoms (fractional coordinates):
1 Mn 0.000 0.500 0.000
2 Mn 0.500 0.000 0.000
3 Ir 0.500 0.500 0.500
4 K 0.000 0.000 0.500
5 Co 0.000 0.000 0.000


No. 3
The following is a meta-GGA SCAN calculation of a crystal of LaCo2Ir relaxed with PBEsol, from the Alexandria database.

Results
Symmetry: No. 166

abc: 2.809 2.809 9.273
angles: 81.29 81.29 60.00
Atoms (fractional coordinates):
1 Co 0.738 0.738 0.785
2 Co 0.262 0.262 0.215
3 Ir 0.000 0.000 0.000
4 La 0.500 0.500 0.500


Number 1: energy of formation from the pure elements 0.3507 eV per atom, ρ 5.29 g cm⁻³. Number 2: energy of formation from the pure elements 1.4422 eV per atom, ρ 7.49 g cm⁻³. Number 3: energy of formation from the pure elements 0.6192 eV per atom, ρ 11.95 g cm⁻³.